Compound: Tb2ErAu6
Source: Alexandria
Functional: GGA-PBE
Structure: relaxed

Unit cell a=8.5025 b=8.5025 c=5.2348 alpha=98.78 beta=98.78 gamma=143.96
With the nearest neighbours (Å) after each atom.
Atoms (fractional coordinates):
Tb: 0.1650 0.8350 0.0000  10 Au 3.03-3.14
Tb: 0.8350 0.1650 0.0000  10 Au 3.03-3.14
Er: 0.5000 0.5000 0.5000  10 Au 3.01-3.06
Au: 0.1571 0.1571 0.8271  5 Au 2.98-3.14, 3 Er 3.01-3.06, 2 Tb 3.06
Au: 0.1722 0.5019 0.6671  5 Au 2.99-3.15, 4 Tb 3.03-3.14, 1 Er 3.06
Au: 0.4981 0.8278 0.3329  5 Au 2.99-3.15, 4 Tb 3.03-3.14, 1 Er 3.06
Au: 0.5019 0.1722 0.6671  5 Au 2.99-3.15, 4 Tb 3.03-3.14, 1 Er 3.06
Au: 0.8278 0.4981 0.3329  5 Au 2.99-3.15, 4 Tb 3.03-3.14, 1 Er 3.06
Au: 0.8429 0.8429 0.1729  5 Au 2.98-3.14, 3 Er 3.01-3.06, 2 Tb 3.06

Output
- magnetic moment (μB/f.u.) = 0.00
- space group = C2/m, No. 12
- ΔH_f (0 K) (eV per formula unit) = -7.2


Compound: TbErAu
Source: Alexandria
Functional: GGA-PBE
Structure: relaxed

Unit cell a=6.8689 b=7.1885 c=6.8540 alpha=90.00 beta=91.02 gamma=90.00
With the nearest neighbours (Å) after each atom.
Atoms (fractional coordinates):
Tb: 0.0587 0.2479 0.0008  4 Au 2.92-3.00
Tb: 0.0587 0.2521 0.5008  4 Au 2.92-3.00
Tb: 0.9413 0.7479 0.4992  4 Au 2.92-3.00
Tb: 0.9413 0.7521 0.9992  4 Au 2.92-3.00
Er: 0.3873 0.5908 0.2484  2 Au 2.84-2.89
Er: 0.3873 0.9092 0.7484  2 Au 2.84-2.89
Er: 0.6127 0.0908 0.2516  2 Au 2.84-2.89
Er: 0.6127 0.4092 0.7516  2 Au 2.84-2.89
Au: 0.2226 0.5395 0.7569  2 Er 2.84-2.89, 4 Tb 2.92-3.00
Au: 0.2226 0.9605 0.2569  2 Er 2.84-2.89, 4 Tb 2.92-3.00
Au: 0.7774 0.0395 0.7431  2 Er 2.84-2.89, 4 Tb 2.92-3.00
Au: 0.7774 0.4605 0.2431  2 Er 2.84-2.89, 4 Tb 2.92-3.00

Output
- magnetic moment (μB/f.u.) = 0.00
- space group = P2_1/c, No. 14
- ΔH_f (0 K) (eV per formula unit) = -1.6


Compound: Tb2ErAu3
Source: Alexandria
Functional: GGA-PBE
Structure: relaxed

Unit cell a=3.5792 b=3.5792 c=10.9059 alpha=90.00 beta=90.00 gamma=90.00
With the nearest neighbours (Å) after each atom.
Atoms (fractional coordinates):
Tb: 0.0000 0.0000 0.1681  8 Au 3.13-3.14
Tb: 0.0000 0.0000 0.8319  8 Au 3.13-3.14
Er: 0.0000 0.0000 0.5000  8 Au 3.08
Au: 0.5000 0.5000 0.0000  8 Tb 3.13
Au: 0.5000 0.5000 0.3383  4 Er 3.08, 4 Tb 3.14
Au: 0.5000 0.5000 0.6617  4 Er 3.08, 4 Tb 3.14

Output
- magnetic moment (μB/f.u.) = 0.00
- space group = P4/mmm, No. 123
- ΔH_f (0 K) (eV per formula unit) = -5.2


Compound: TbErTcAu
Source: Alexandria
Functional: GGA-PBE
Structure: relaxed

Unit cell a=4.9423 b=4.9423 c=4.9423 alpha=60.00 beta=60.00 gamma=60.00
With the nearest neighbours (Å) after each atom.
Atoms (fractional coordinates):
Tb: 0.0000 0.0000 0.0000  4 Au 3.03, 4 Tc 3.03
Er: 0.5000 0.5000 0.5000  4 Au 3.03, 4 Tc 3.03
Tc: 0.2500 0.2500 0.2500  4 Tb 3.03, 4 Er 3.03
Au: 0.7500 0.7500 0.7500  4 Tb 3.03, 4 Er 3.03

Output
- magnetic moment (μB/f.u.) = 0.00
- space group = F-43m, No. 216
- ΔH_f (0 K) (eV per formula unit) = -1.5


Compound: Er5TcAu2
Source: Alexandria
Functional: GGA-PBE
Structure: relaxed

Unit cell a=6.9534 b=11.7476 c=4.7773 alpha=90.00 beta=90.00 gamma=90.00
With the nearest neighbours (Å) after each atom.
Atoms (fractional coordinates):
Er: 0.0000 0.0000 0.0000  4 Au 3.07
Er: 0.1505 0.2897 0.0000  1 Tc 2.68
Er: 0.1766 0.5897 0.5000  2 Tc 2.89, 2 Au 2.93-3.04
Er: 0.3234 0.0897 0.5000  2 Tc 2.89, 2 Au 2.93-3.04
Er: 0.3495 0.7897 0.0000  1 Tc 2.68
Er: 0.5000 0.5000 0.0000  4 Au 3.07
Er: 0.6505 0.2103 0.0000  1 Tc 2.68
Er: 0.6766 0.9103 0.5000  2 Tc 2.89, 2 Au 2.93-3.04
Er: 0.8234 0.4103 0.5000  2 Tc 2.89, 2 Au 2.93-3.04
Er: 0.8495 0.7103 0.0000  1 Tc 2.68
Tc: 0.0000 0.5000 0.0000  6 Er 2.68-2.89
Tc: 0.5000 0.0000 0.0000  6 Er 2.68-2.89
Au: 0.0818 0.8426 0.5000  8 Er 2.93-3.28
Au: 0.4182 0.3426 0.5000  8 Er 2.93-3.28
Au: 0.5818 0.6574 0.5000  8 Er 2.93-3.28
Au: 0.9182 0.1574 0.5000  8 Er 2.93-3.28

Output
- magnetic moment (μB/f.u.) = 0.00
- space group = Pbam, No. 55
- ΔH_f (0 K) (eV per formula unit) = -3.9


Compound: Er2TcAu
Source: Alexandria
Functional: GGA-PBE
Structure: relaxed

Unit cell a=3.4654 b=3.4654 c=7.0471 alpha=90.00 beta=90.00 gamma=90.00
With the nearest neighbours (Å) after each atom.
Atoms (fractional coordinates):
Er: 0.0000 0.0000 0.2305  4 Tc 2.94, 4 Au 3.10, 1 Er 3.25
Er: 0.0000 0.0000 0.7695  4 Tc 2.94, 4 Au 3.10, 1 Er 3.25
Tc: 0.5000 0.5000 0.0000  8 Er 2.94
Au: 0.5000 0.5000 0.5000  8 Er 3.10, 4 Au 3.47

Output
- magnetic moment (μB/f.u.) = 0.00
- space group = P4/mmm, No. 123
- ΔH_f (0 K) (eV per formula unit) = -1.9


no.,E (eV per cell)
1,-40.666
2,-56.202
3,-28.840
4,-24.310
5,-87.214
6,-24.665